8
Lattice="3.992 0.000 0.000 0.000 5.309 0.000 0.000 0.000 9.444" Properties=species:S:1:pos:R:3 comment="meta-GGA SCAN Sr2MnOs, PBEsol geometry" dos_at_fermi_per_ev_cell=6.60 e_form_ev_per_atom=0.388 space_group="Imm2, No. 44" de_polymorph_ev_per_atom=0.000 mass_density_g_cm3=7.0 dft_energy_ev_per_atom=-33.283 pbc="T T T"
Sr 0.000 0.000 0.000
Sr 0.000 2.654 1.854
Sr 1.996 0.000 6.576
Sr 1.996 2.654 4.722
Mn 0.000 2.654 7.485
Mn 1.996 0.000 2.764
Os 0.000 0.000 3.821
Os 1.996 2.654 8.543

12
Lattice="3.671 0.000 0.000 0.000 3.671 0.000 0.000 0.000 9.952" Properties=species:S:1:pos:R:3 comment="meta-GGA SCAN ThNi2B2C, PBEsol geometry" dos_at_fermi_per_ev_cell=6.10 e_form_ev_per_atom=-0.496 space_group="I4/mmm, No. 139" mass_density_g_cm3=9.5 dft_energy_ev_per_atom=-26.033 pbc="T T T"
Th 0.000 0.000 0.000
Th 1.835 1.835 4.976
Ni 0.000 1.835 2.488
Ni 0.000 1.835 7.464
Ni 1.835 0.000 2.488
Ni 1.835 0.000 7.464
B 0.000 0.000 3.470
B 0.000 0.000 6.482
B 1.835 1.835 1.506
B 1.835 1.835 8.446
C 0.000 0.000 4.976
C 1.835 1.835 0.000

12
Lattice="3.177 0.000 0.000 -1.589 2.751 0.000 0.000 0.000 15.839" Properties=species:S:1:pos:R:3 comment="meta-GGA SCAN P3C, PBEsol geometry" dos_at_fermi_per_ev_cell=3.89 e_form_ev_per_atom=0.957 space_group="R-3m, No. 166" de_polymorph_ev_per_atom=0.272 mass_density_g_cm3=3.8 dft_energy_ev_per_atom=-9.367 pbc="T T T"
P 0.000 0.000 0.000
P 0.000 0.000 3.812
P 0.000 0.000 12.027
P 0.000 1.834 6.748
P 0.000 1.834 10.559
P 0.000 1.834 14.371
P 1.589 0.917 1.468
P 1.589 0.917 5.280
P 1.589 0.917 9.091
C 0.000 0.000 7.920
C 0.000 1.834 2.640
C 1.589 0.917 13.199

9
Lattice="-5.658 5.658 2.670 5.658 -5.658 2.670 5.658 5.658 -2.670" Properties=species:S:1:pos:R:3 comment="meta-GGA SCAN Ca8Sc, PBEsol geometry" dos_at_fermi_per_ev_cell=11.33 e_form_ev_per_atom=0.096 space_group="I4/mmm, No. 139" mass_density_g_cm3=1.8 dft_energy_ev_per_atom=-10.075 pbc="T T T"
Ca 3.703 0.000 0.000
Ca 7.613 0.000 0.000
Ca 0.000 3.703 0.000
Ca 3.836 3.836 0.000
Ca 1.822 -1.822 2.670
Ca -1.822 1.822 2.670
Ca 1.822 1.822 2.670
Ca 0.000 7.613 0.000
Sc 0.000 0.000 0.000